Entry 1:
MgSc2Be | PBE | optimized geometry

ΔH_f (0 K): 1.01 eV per formula unit
DOS at the Fermi energy: 3.40 states/eV/f.u.
theoretical density: 2.47 g/cm3
ΔE to the lowest computed polymorph: 310.9 meV/atom

a = 9.3817 Å, b = 9.3817 Å, c = 9.3817 Å
α = 19.80°, β = 19.80°, γ = 19.80°
Each line ends with the local moment (μB).
Atoms (fractional coordinates):
Mg 0.7638 0.7638 0.7638  0.00
Sc 0.0006 0.0006 0.0006  0.27
Sc 0.2364 0.2364 0.2364  0.21
Be 0.4993 0.4993 0.4993  -0.01

---

Entry 2:
Ac3DyCo | PBE | optimized geometry

ΔH_f (0 K): 0.46 eV per formula unit
DOS at the Fermi energy: 8.01 states/eV/f.u.
theoretical density: 8.22 g/cm3

a = 5.6692 Å, b = 5.6692 Å, c = 5.6692 Å
α = 90.00°, β = 90.00°, γ = 90.00°
Atoms (fractional coordinates):
Ac 0.5000 0.0000 0.0000
Ac 0.0000 0.0000 0.5000
Ac 0.0000 0.5000 0.0000
Dy 0.5000 0.5000 0.5000
Co 0.0000 0.0000 0.0000

---

Entry 3:
K3H5O2 | PBE | optimized geometry

DOS at the Fermi energy: 0.96 states/eV/f.u.
final energy: -0.12471 hartree per atom
theoretical density: 1.85 g/cm3

a = 4.8981 Å, b = 8.2850 Å, c = 8.2850 Å
α = 61.63°, β = 72.81°, γ = 72.81°
Atoms (fractional coordinates):
H 0.4605 0.6473 0.4318
H 0.0690 0.1810 0.1810
H 0.5395 0.3527 0.5682
H 0.5690 0.1810 0.1810
H 0.0395 0.5682 0.3527
H 0.9605 0.4318 0.6473
H 0.7500 0.5000 0.5000
H 0.4310 0.8190 0.8190
H 0.2500 0.5000 0.5000
H 0.9310 0.8190 0.8190
K 0.2500 0.0000 0.0000
K 0.7500 0.0000 0.0000
K 0.3378 0.5098 0.8146
K 0.8378 0.8146 0.5098
K 0.6622 0.4902 0.1854
K 0.1622 0.1854 0.4902
O 0.3250 0.2112 0.1388
O 0.6750 0.7888 0.8612
O 0.8250 0.1388 0.2112
O 0.1750 0.8612 0.7888

---

Entry 4:
Hf3Pt2N | PBE | optimized geometry

uncorrected formation energy: -1208 meV/atom
DOS at the Fermi energy: 4.26 states/eV/f.u.
theoretical density: 15.92 g/cm3

a = 4.5282 Å, b = 6.3857 Å, c = 7.1463 Å
α = 90.02°, β = 108.43°, γ = 90.00°
Atoms (fractional coordinates):
Pt 0.6936 0.2498 0.3868
Pt 0.3064 0.7502 0.6132
Pt 0.6935 0.7498 0.3868
Pt 0.3065 0.2502 0.6132
Hf 0.1206 0.0000 0.2412
Hf 0.8794 0.0000 0.7588
Hf 0.8794 0.5000 0.7588
Hf 0.1206 0.5000 0.2412
Hf 0.5000 0.2500 0.0000
Hf 0.5000 0.7500 0.0000
N 0.0000 0.2500 0.0000
N 0.0000 0.7500 0.0000

---

Entry 5:
PaAlV | PBE | optimized geometry

ΔH_f (0 K): -0.13 eV per formula unit
DOS at the Fermi energy: 4.26 states/eV/f.u.
theoretical density: 8.74 g/cm3
ΔE to the lowest computed polymorph: 81.6 meV/atom

a = 4.5892 Å, b = 5.7882 Å, c = 4.8724 Å
α = 81.91°, β = 90.00°, γ = 66.62°
Atoms (fractional coordinates):
V 0.7996 0.4063 0.6327
V 0.2049 0.5969 0.3718
Pa 0.1252 0.7557 0.8051
Pa 0.8793 0.2476 0.1993
Al 0.5829 0.8406 0.2702
Al 0.4216 0.1627 0.7342

---

Entry 6:
LiZrPb3 | PBE | optimized geometry

ΔH_f (0 K): 2.04 eV per formula unit
DOS at the Fermi energy: 4.70 states/eV/f.u.
theoretical density: 9.15 g/cm3
ΔE to the lowest computed polymorph: 165.9 meV/atom

a = 5.0742 Å, b = 5.0742 Å, c = 5.0742 Å
α = 90.00°, β = 90.00°, γ = 90.00°
Atoms (fractional coordinates):
Zr 0.5000 0.5000 0.5000
Pb 0.0000 0.5000 0.0000
Pb 0.5000 0.0000 0.0000
Pb 0.0000 0.0000 0.5000
Li 0.0000 0.0000 0.0000

---

Entry 7:
Sr3FeCu | PBE | optimized geometry

ΔH_f (0 K): 3.07 eV per formula unit
DOS at the Fermi energy: 20.65 states/eV/f.u.
theoretical density: 3.24 g/cm3
ΔE to the lowest computed polymorph: 0.0 meV/atom

a = 5.8078 Å, b = 5.8078 Å, c = 5.8078 Å
α = 90.00°, β = 90.00°, γ = 90.00°
Each line ends with the local moment (μB).
Atoms (fractional coordinates):
Fe 0.5000 0.5000 0.5000  3.18
Sr 0.0000 0.0000 0.5000  -0.03
Sr 0.5000 0.0000 0.0000  -0.03
Sr 0.0000 0.5000 0.0000  -0.02
Cu 0.0000 0.0000 0.0000  0.00

---

Entry 8:
TaSiRu2 | PBE | optimized geometry

uncorrected formation energy: -38 meV/atom
DOS at the Fermi energy: 3.45 states/eV/f.u.
theoretical density: 11.52 g/cm3

a = 8.7687 Å, b = 8.7687 Å, c = 8.7687 Å
α = 18.49°, β = 18.49°, γ = 18.49°
Atoms (fractional coordinates):
Ta 0.7517 0.7517 0.7517
Ru 0.9967 0.9967 0.9967
Ru 0.2457 0.2457 0.2457
Si 0.5059 0.5059 0.5059